(1)
This record from Alexandria describes a relaxed structure of MnCoAs2. The functional is PBE-GGA.

Calculated values
**ρ**: 7.4 g cm⁻³
**Magnetization**: 3.2 μB per cell
**Offset from the most stable computed form**: 0.19 eV per formula unit
**Crystal system**: orthorhombic
**SG**: Imm2 (44)
**Energy relative to the elements**: -61 meV/atom

extended XYZ file:
```
4
Lattice="-1.426 1.802 5.756 1.426 -1.802 5.756 1.426 1.802 -5.756" Properties=species:S:1:pos:R:3 pbc="T T T"
Mn 0.000 0.000 0.000
Co 1.426 0.000 2.457
As 0.000 0.000 4.486
As 0.000 1.802 1.736
```

=====

(2)
This record from Alexandria describes a relaxed structure of TlOs3N. The functional is PBE-GGA.

Calculated values
**ρ**: 18.2 g cm⁻³
**Magnetization**: 0.0 μB per cell
**Offset from the most stable computed form**: 0.00 eV per formula unit
**Crystal system**: cubic
**SG**: Pm-3m (221)

extended XYZ file:
```
5
Lattice="4.159 0.000 0.000 0.000 4.159 0.000 0.000 0.000 4.159" Properties=species:S:1:pos:R:3 pbc="T T T"
Tl 0.000 0.000 0.000
Os 0.000 2.079 2.079
Os 2.079 0.000 2.079
Os 2.079 2.079 0.000
N 2.079 2.079 2.079
```

=====

(3)
This record from Alexandria describes a relaxed structure of V8Cr2Sn. The functional is PBE-GGA.

Calculated values
**ρ**: 6.7 g cm⁻³
**Magnetization**: 0.0 μB per cell
**Crystal system**: monoclinic
**SG**: C2/m (12)
**Energy relative to the elements**: 245 meV/atom

extended XYZ file:
```
11
Lattice="6.697 -2.522 0.000 6.697 2.522 0.000 -0.934 0.000 4.635" Properties=species:S:1:pos:R:3 pbc="T T T"
V 0.851 0.000 2.193
V 4.536 1.266 4.592
V 2.463 0.000 4.026
V 7.924 1.266 0.043
V 4.536 -1.266 4.592
V 9.997 0.000 0.608
V 7.924 -1.266 0.043
V 11.609 0.000 2.442
Cr 3.326 0.000 1.855
Cr 9.134 0.000 2.780
Sn 6.230 0.000 2.317
```

=====

(4)
This record from Alexandria describes a relaxed structure of Tb3NpTl3Te8. The functional is PBE-GGA.

Calculated values
**ρ**: 7.0 g cm⁻³
**E_tot**: -4.897 eV/atom
**Magnetization**: 3.0 μB per cell
**Crystal system**: trigonal
**SG**: R-3m (166)

extended XYZ file:
```
15
Lattice="4.427 2.556 8.247 -4.427 2.556 8.247 0.000 -5.111 8.247" Properties=species:S:1:pos:R:3 pbc="T T T"
Tb -2.213 -1.278 8.247
Tb -2.213 1.278 16.494
Tb 0.000 2.556 8.247
Np 0.000 0.000 0.000
Tl -4.427 0.000 12.371
Tl -2.213 1.278 4.124
Tl 2.213 1.278 4.124
Te 0.000 -2.574 9.998
Te -2.230 1.287 9.998
Te -2.230 -1.287 14.743
Te 0.000 0.000 6.475
Te 0.000 0.000 18.267
Te 2.230 1.287 9.998
Te 2.230 -1.287 14.743
Te 0.000 2.574 14.743
```

=====

(5)
This record from Alexandria describes a relaxed structure of PmNd3Y2Tm6. The functional is PBE-GGA.

Calculated values
**ρ**: 7.7 g cm⁻³
**Magnetization**: 0.0 μB per cell
**Crystal system**: monoclinic
**SG**: C2/m (12)
**Energy relative to the elements**: 22 meV/atom

extended XYZ file:
```
12
Lattice="3.093 -5.354 0.000 3.093 5.354 0.000 -2.055 0.000 11.554" Properties=species:S:1:pos:R:3 pbc="T T T"
Pm 0.000 0.000 0.000
Nd 2.065 3.568 5.777
Nd 2.065 0.000 5.777
Nd 2.065 -3.568 5.777
Y 3.093 1.785 0.000
Y 3.093 -1.785 0.000
Tm 1.032 1.783 2.869
Tm 0.003 0.000 8.684
Tm 1.032 -1.783 2.869
Tm 3.098 1.783 8.685
Tm 4.127 0.000 2.870
Tm 3.098 -1.783 8.685
```

=====

(6)
This record from Alexandria describes a relaxed structure of Zr5AgHg4. The functional is PBE-GGA.

Calculated values
**ρ**: 10.6 g cm⁻³
**Magnetization**: 0.0 μB per cell
**Crystal system**: tetragonal
**SG**: P4/mmm (123)
**Energy relative to the elements**: -136 meV/atom

extended XYZ file:
```
10
Lattice="3.190 0.000 0.000 0.000 3.190 0.000 0.000 0.000 20.959" Properties=species:S:1:pos:R:3 pbc="T T T"
Zr 0.000 0.000 0.000
Zr 0.000 0.000 4.225
Zr 0.000 0.000 8.447
Zr 0.000 0.000 12.512
Zr 0.000 0.000 16.734
Ag 1.595 1.595 10.479
Hg 1.595 1.595 2.114
Hg 1.595 1.595 6.341
Hg 1.595 1.595 14.618
Hg 1.595 1.595 18.845
```

=====

(7)
This record from Alexandria describes a relaxed structure of Hg2SeS6. The functional is PBE-GGA.

Calculated values
**ρ**: 3.9 g cm⁻³
**E_tot**: -3.067 eV/atom
**Magnetization**: 0.0 μB per cell
**Crystal system**: triclinic
**SG**: P-1 (2)

extended XYZ file:
```
9
Lattice="4.547 0.000 0.000 0.549 7.016 0.000 0.803 1.369 8.957" Properties=species:S:1:pos:R:3 pbc="T T T"
Hg 0.709 2.849 3.560
Hg 5.191 5.536 5.396
Se 2.950 4.193 4.478
S 1.040 7.231 1.896
S 1.263 2.849 7.847
S 1.727 6.646 8.192
S 4.172 1.739 0.765
S 4.636 5.536 1.110
S 4.859 1.154 7.060
```

=====

(8)
This record from Alexandria describes a relaxed structure of K2HgBSe4. The functional is PBE-GGA.

Calculated values
**ρ**: 4.1 g cm⁻³
**E_tot**: -3.368 eV/atom
**Magnetization**: 0.0 μB per cell
**Crystal system**: orthorhombic
**SG**: Fddd (70)

extended XYZ file:
```
16
Lattice="0.000 6.881 10.674 3.340 0.000 10.674 3.340 6.881 0.000" Properties=species:S:1:pos:R:3 pbc="T T T"
K 2.505 5.161 1.240
K 4.176 8.601 6.577
K 2.505 5.161 14.771
K 4.176 8.601 20.108
Hg 0.835 1.720 2.668
Hg 5.846 12.041 18.679
B 2.505 5.161 8.005
B 4.176 8.601 13.342
Se 3.773 3.942 6.852
Se 3.773 6.379 9.159
Se 5.443 7.383 14.496
Se 5.443 9.819 12.188
Se 1.237 3.942 9.159
Se 1.237 6.379 6.852
Se 2.908 7.383 12.188
Se 2.908 9.819 14.496
```